[1]
## CuC3O (GGA-PBE)

Data for crystalline CuC3O at its relaxed geometry.

Its uncorrected formation energy is 308.49 kJ per mole of atoms. As for the symmetry: Pm-3m (221). The magnetic moment is 0.000 μB per cell.

Geometry as POSCAR:
```
CuC3O
1.0
3.797 0.000 0.000
0.000 3.797 0.000
0.000 0.000 3.797
Cu C O
1 3 1
Cartesian
0.000 0.000 0.000
0.000 0.000 1.899
0.000 1.899 0.000
1.899 0.000 0.000
1.899 1.899 1.899
```

***

[2]
## CuC2O (GGA-PBE)

Data for crystalline CuC2O at its relaxed geometry.

Its uncorrected formation energy is 169.04 kJ per mole of atoms. As for the symmetry: I-42d (122). The magnetic moment is 0.000 μB per cell.

Geometry as POSCAR:
```
CuC2O
1.0
4.385 0.000 0.000
0.000 4.385 0.000
0.000 0.000 7.974
Cu C O
4 8 4
Cartesian
0.000 0.000 0.000
0.000 2.192 1.993
2.192 0.000 5.980
2.192 2.192 3.987
0.955 1.096 4.984
1.096 3.148 6.977
1.096 3.430 2.990
1.237 1.096 0.997
3.148 3.289 0.997
3.289 0.955 2.990
3.289 1.237 6.977
3.430 3.289 4.984
0.000 0.000 3.987
0.000 2.192 5.980
2.192 0.000 1.993
2.192 2.192 0.000
```

***

[3]
## Cu3C2O8 (GGA-PBE)

Data for crystalline Cu3C2O8 at its relaxed geometry.

Its uncorrected formation energy is -85.26 kJ per mole of atoms. As for the symmetry: P2_1/c (14). The magnetic moment is 0.003 μB per cell.

Geometry as POSCAR:
```
Cu3C2O8
1.0
5.085 0.000 0.000
0.000 5.701 0.000
-1.020 0.000 10.520
Cu C O
6 4 16
Cartesian
0.000 0.000 0.000
-0.510 2.850 5.260
0.631 0.034 6.138
1.140 2.816 0.878
2.925 2.885 9.642
3.434 5.667 4.382
1.356 3.896 3.382
0.847 4.655 8.642
3.218 1.046 1.878
2.709 1.805 7.138
-0.205 1.051 4.822
-0.715 1.799 10.082
0.240 3.264 3.557
-0.270 5.287 8.817
1.865 3.969 2.199
1.355 4.582 7.459
1.452 4.107 9.649
1.961 4.444 4.389
2.104 1.257 6.131
2.613 1.594 0.871
2.710 1.118 3.061
2.200 1.732 8.321
4.335 0.414 1.703
3.825 2.436 6.963
4.780 3.902 0.438
4.270 4.650 5.698
```

***

[4]
## CuPCO2 (GGA-PBE)

Data for crystalline CuPCO2 at its relaxed geometry.

Its uncorrected formation energy is 99.29 kJ per mole of atoms. As for the symmetry: P4/mmm (123). The magnetic moment is 0.433 μB per cell.

Geometry as POSCAR:
```
CuPCO2
1.0
3.329 0.000 0.000
0.000 3.329 0.000
0.000 0.000 4.439
Cu P C O
1 1 1 2
Cartesian
0.000 0.000 0.000
1.665 1.665 0.000
1.665 1.665 2.220
0.000 1.665 2.220
1.665 0.000 2.220
```

***

[5]
## CuPCO2 (GGA-PBE)

Data for crystalline CuPCO2 at its relaxed geometry.

Its uncorrected formation energy is 135.39 kJ per mole of atoms. As for the symmetry: P4/mmm (123). The magnetic moment is 0.717 μB per cell.

Geometry as POSCAR:
```
CuPCO2
1.0
3.522 0.000 0.000
0.000 3.522 0.000
0.000 0.000 4.986
Cu P C O
1 1 1 2
Cartesian
0.000 0.000 0.000
0.000 0.000 2.493
1.761 1.761 2.493
0.000 1.761 0.000
1.761 0.000 0.000
```

***

[6]
## CuPbC2O6 (GGA-PBE)

Data for crystalline CuPbC2O6 at its relaxed geometry.

Its uncorrected formation energy is -111.60 kJ per mole of atoms. As for the symmetry: R-3 (148). The magnetic moment is 1.005 μB per cell.

Geometry as POSCAR:
```
CuPbC2O6
1.0
2.485 1.435 5.657
-2.485 1.435 5.657
0.000 -2.869 5.657
Cu Pb C O
1 1 2 6
Cartesian
0.000 0.000 0.000
0.000 0.000 8.485
0.000 0.000 4.443
0.000 0.000 12.528
-0.463 -1.215 4.411
-0.820 1.008 4.411
-1.283 -0.206 12.559
1.283 0.206 4.411
0.820 -1.008 12.559
0.463 1.215 12.559
```

***

[7]
## PmCuCO5 (GGA-PBE)

Data for crystalline PmCuCO5 at its relaxed geometry.

Its uncorrected formation energy is -145.80 kJ per mole of atoms. As for the symmetry: C2/c (15). The magnetic moment is 2.004 μB per cell.

Geometry as POSCAR:
```
PmCuCO5
1.0
4.043 -4.056 0.000
4.043 4.056 0.000
-3.773 0.000 7.174
Pm Cu C O
2 2 2 10
Cartesian
2.021 2.028 0.000
0.135 -2.028 3.587
1.213 3.285 5.381
3.100 -3.285 1.794
1.213 0.796 5.381
3.100 -0.796 1.794
3.100 3.066 1.794
0.354 1.769 6.054
2.072 1.769 4.708
0.520 0.056 4.507
2.407 -0.056 0.919
1.906 0.056 6.255
3.792 -0.056 2.668
2.241 -1.769 2.466
3.958 -1.769 1.121
1.213 -3.066 5.381
```

***

[8]
## PmCu2C2O7 (GGA-PBE)

Data for crystalline PmCu2C2O7 at its relaxed geometry.

Its uncorrected formation energy is -134.53 kJ per mole of atoms. As for the symmetry: R32 (155). The magnetic moment is 1.001 μB per cell.

Geometry as POSCAR:
```
PmCu2C2O7
1.0
2.440 1.409 9.146
-2.440 1.409 9.146
0.000 -2.817 9.146
Pm Cu C O
1 2 2 7
Cartesian
0.000 0.000 0.000
0.000 0.000 11.967
0.000 0.000 15.470
0.000 0.000 7.701
0.000 0.000 19.736
1.670 0.360 16.871
-1.147 -1.266 10.566
-0.523 -1.626 16.871
-0.523 1.626 10.566
0.000 0.000 13.719
-1.147 1.266 16.871
1.670 -0.360 10.566
```

***

[9]
## Rb2CuCO4 (GGA-PBE)

Data for crystalline Rb2CuCO4 at its relaxed geometry.

Its uncorrected formation energy is -111.99 kJ per mole of atoms. As for the symmetry: Fddd (70). The magnetic moment is 2.072 μB per cell.

Geometry as POSCAR:
```
Rb2CuCO4
1.0
0.000 5.592 10.191
2.455 0.000 10.191
2.455 5.592 0.000
Rb Cu C O
4 2 2 8
Cartesian
1.841 4.194 1.001
3.068 6.990 6.096
1.841 4.194 14.286
3.068 6.990 19.381
0.614 1.398 2.548
4.295 9.786 17.834
1.841 4.194 7.643
3.068 6.990 12.739
2.691 3.387 6.850
2.691 5.001 8.436
3.918 6.184 13.532
3.918 7.797 11.946
0.991 3.387 8.436
0.991 5.001 6.850
2.218 6.184 11.946
2.218 7.797 13.532
```

***

[10]
## RbCuC2O6 (GGA-PBE)

Data for crystalline RbCuC2O6 at its relaxed geometry.

Its uncorrected formation energy is -117.47 kJ per mole of atoms. As for the symmetry: R-3 (148). The magnetic moment is 1.997 μB per cell.

Geometry as POSCAR:
```
RbCuC2O6
1.0
2.430 1.403 6.571
-2.430 1.403 6.571
0.000 -2.805 6.571
Rb Cu C O
1 1 2 6
Cartesian
0.000 0.000 0.000
0.000 0.000 9.856
0.000 0.000 4.407
0.000 0.000 15.304
-1.147 -1.228 8.685
-1.637 0.379 11.026
0.490 -1.607 11.026
-0.490 1.607 8.685
1.637 -0.379 8.685
1.147 1.228 11.026
```

***

[11]
## CuRuC2O (GGA-PBE)

Data for crystalline CuRuC2O at its relaxed geometry.

Its uncorrected formation energy is 190.24 kJ per mole of atoms. As for the symmetry: P4/mmm (123). The magnetic moment is 1.232 μB per cell.

Geometry as POSCAR:
```
CuRuC2O
1.0
3.738 0.000 0.000
0.000 3.738 0.000
0.000 0.000 3.781
Cu Ru C O
1 1 2 1
Cartesian
0.000 0.000 0.000
1.869 1.869 1.890
0.000 1.869 0.000
1.869 0.000 0.000
0.000 0.000 1.890
```

***

[12]
## CuCSO (GGA-PBE)

Data for crystalline CuCSO at its relaxed geometry.

Its uncorrected formation energy is 102.34 kJ per mole of atoms. As for the symmetry: P4/nmm (129). The magnetic moment is 0.000 μB per cell.

Geometry as POSCAR:
```
CuCSO
1.0
3.373 0.000 0.000
0.000 3.373 0.000
0.000 0.000 9.017
Cu C S O
2 2 2 2
Cartesian
0.843 2.530 0.000
2.530 0.843 0.000
0.843 0.843 3.871
2.530 2.530 5.146
0.843 0.843 7.474
2.530 2.530 1.542
0.843 2.530 4.508
2.530 0.843 4.508
```